{
  "formula": "HfAg2S3",
  "functional": "GGA-PBE",
  "state": "relaxed",
  "sg": "Cmce, No. 64",
  "e_tot_ry_per_atom": -0.401,
  "crystal_system": "orthorhombic",
  "cell": [[5.781, -3.346, 0.000], [5.781, 3.346, 0.000], [0.000, 0.000, 12.746]],
  "species": ["Hf", "Hf", "Hf", "Hf", "Ag", "Ag", "Ag", "Ag", "Ag", "Ag", "Ag", "Ag", "S", "S", "S", "S", "S", "S", "S", "S", "S", "S", "S", "S"],
  "frac_coords": [[0.162, 0.162, 0.000], [0.338, 0.338, 0.500], [0.662, 0.662, 0.500], [0.838, 0.838, 0.000], [0.025, 0.975, 0.680], [0.148, 0.352, 0.250], [0.352, 0.148, 0.750], [0.475, 0.525, 0.180], [0.525, 0.475, 0.820], [0.648, 0.852, 0.250], [0.852, 0.648, 0.750], [0.975, 0.025, 0.320], [0.002, 0.346, 0.603], [0.111, 0.889, 0.124], [0.154, 0.498, 0.897], [0.346, 0.002, 0.397], [0.389, 0.611, 0.624], [0.498, 0.154, 0.103], [0.502, 0.846, 0.897], [0.611, 0.389, 0.376], [0.654, 0.998, 0.603], [0.846, 0.502, 0.103], [0.889, 0.111, 0.876], [0.998, 0.654, 0.397]]
}

---

{
  "formula": "CsBaW",
  "functional": "GGA-PBE",
  "state": "relaxed",
  "sg": "F-43m, No. 216",
  "e_tot_ry_per_atom": -0.222,
  "crystal_system": "cubic",
  "cell": [[0.000, 4.012, 4.012], [4.012, 0.000, 4.012], [4.012, 4.012, 0.000]],
  "species": ["Cs", "Ba", "W"],
  "frac_coords": [[0.000, 0.000, 0.000], [0.750, 0.750, 0.750], [0.250, 0.250, 0.250]]
}

---

{
  "formula": "Lu4Hf2Ni3N3",
  "functional": "GGA-PBE",
  "state": "relaxed",
  "sg": "C2/c, No. 15",
  "e_tot_ry_per_atom": -0.555,
  "crystal_system": "monoclinic",
  "cell": [[5.050, -2.805, 0.000], [5.050, 2.805, 0.000], [-3.442, 0.000, 13.241]],
  "species": ["Lu", "Lu", "Lu", "Lu", "Lu", "Lu", "Lu", "Lu", "Hf", "Hf", "Hf", "Hf", "Ni", "Ni", "Ni", "Ni", "Ni", "Ni", "N", "N", "N", "N", "N", "N"],
  "frac_coords": [[0.047, 0.199, 0.105], [0.136, 0.297, 0.394], [0.199, 0.047, 0.605], [0.297, 0.136, 0.894], [0.703, 0.864, 0.106], [0.801, 0.953, 0.395], [0.864, 0.703, 0.606], [0.953, 0.801, 0.895], [0.363, 0.534, 0.095], [0.466, 0.637, 0.405], [0.534, 0.363, 0.595], [0.637, 0.466, 0.905], [0.006, 0.994, 0.750], [0.298, 0.455, 0.750], [0.455, 0.298, 0.250], [0.545, 0.702, 0.750], [0.702, 0.545, 0.250], [0.994, 0.006, 0.250], [0.000, 0.500, 0.000], [0.187, 0.656, 0.498], [0.344, 0.813, 0.002], [0.500, 0.000, 0.500], [0.656, 0.187, 0.998], [0.813, 0.344, 0.502]]
}

---

{
  "formula": "NaGaFeTe",
  "functional": "GGA-PBE",
  "state": "relaxed",
  "sg": "F-43m, No. 216",
  "e_tot_ry_per_atom": -0.276,
  "crystal_system": "cubic",
  "relative_energy_ev_per_atom": 0.000,
  "cell": [[0.000, 3.422, 3.422], [3.422, 0.000, 3.422], [3.422, 3.422, 0.000]],
  "species": ["Na", "Ga", "Fe", "Te"],
  "frac_coords": [[0.000, 0.000, 0.000], [0.750, 0.750, 0.750], [0.500, 0.500, 0.500], [0.250, 0.250, 0.250]]
}

---

{
  "formula": "NbTcB4",
  "functional": "GGA-PBE",
  "state": "relaxed",
  "sg": "P-6m2, No. 187",
  "e_tot_ry_per_atom": -0.603,
  "crystal_system": "hexagonal",
  "relative_energy_ev_per_atom": 0.023,
  "cell": [[2.930, 0.000, 0.000], [-1.465, 2.538, 0.000], [0.000, 0.000, 7.867]],
  "species": ["Nb", "Tc", "B", "B", "B", "B"],
  "frac_coords": [[0.000, 0.000, 0.000], [0.667, 0.333, 0.500], [0.000, 0.000, 0.304], [0.000, 0.000, 0.696], [0.667, 0.333, 0.222], [0.667, 0.333, 0.778]]
}

---

{
  "formula": "Sr2TaIrN2O4",
  "functional": "GGA-PBE",
  "state": "relaxed",
  "sg": "P1, No. 1",
  "e_tot_ry_per_atom": -0.570,
  "crystal_system": "triclinic",
  "relative_energy_ev_per_atom": 0.042,
  "cell": [[5.635, 0.000, 0.000], [0.065, 5.652, 0.000], [0.015, 0.010, 7.977]],
  "species": ["Sr", "Sr", "Sr", "Sr", "Ta", "Ta", "Ir", "Ir", "N", "N", "N", "N", "O", "O", "O", "O", "O", "O", "O", "O"],
  "frac_coords": [[0.000, 0.000, 0.000], [0.009, 0.998, 0.502], [0.500, 0.497, 0.001], [0.512, 0.497, 0.501], [0.012, 0.506, 0.750], [0.513, 0.007, 0.251], [0.494, 0.988, 0.750], [0.994, 0.490, 0.250], [0.247, 0.753, 0.765], [0.271, 0.248, 0.733], [0.741, 0.750, 0.766], [0.762, 0.237, 0.264], [0.237, 0.762, 0.230], [0.262, 0.258, 0.271], [0.496, 0.032, 0.001], [0.496, 0.952, 0.498], [0.734, 0.733, 0.228], [0.766, 0.240, 0.728], [0.997, 0.534, 0.498], [0.999, 0.456, 0.000]]
}

---

{
  "formula": "Pr2Co12P7",
  "functional": "GGA-PBE",
  "state": "relaxed",
  "sg": "P-6, No. 174",
  "e_tot_ry_per_atom": -0.518,
  "crystal_system": "hexagonal",
  "cell": [[9.080, 0.000, 0.000], [-4.540, 7.863, 0.000], [0.000, 0.000, 3.639]],
  "species": ["Pr", "Pr", "Co", "Co", "Co", "Co", "Co", "Co", "Co", "Co", "Co", "Co", "Co", "Co", "P", "P", "P", "P", "P", "P", "P"],
  "frac_coords": [[0.000, 0.000, 0.000], [0.333, 0.667, 0.500], [0.048, 0.764, 0.500], [0.097, 0.392, 0.000], [0.236, 0.284, 0.500], [0.295, 0.903, 0.000], [0.396, 0.214, 0.000], [0.541, 0.108, 0.500], [0.567, 0.459, 0.500], [0.608, 0.705, 0.000], [0.716, 0.952, 0.500], [0.786, 0.182, 0.000], [0.818, 0.604, 0.000], [0.892, 0.433, 0.500], [0.069, 0.629, 0.000], [0.271, 0.042, 0.500], [0.371, 0.440, 0.000], [0.560, 0.931, 0.000], [0.667, 0.333, 0.000], [0.771, 0.729, 0.500], [0.958, 0.229, 0.500]]
}

---

{
  "formula": "NaLuHfNi",
  "functional": "GGA-PBE",
  "state": "relaxed",
  "sg": "F-43m, No. 216",
  "e_tot_ry_per_atom": -0.353,
  "crystal_system": "cubic",
  "relative_energy_ev_per_atom": 0.227,
  "cell": [[0.000, 3.424, 3.424], [3.424, 0.000, 3.424], [3.424, 3.424, 0.000]],
  "species": ["Na", "Lu", "Hf", "Ni"],
  "frac_coords": [[0.000, 0.000, 0.000], [0.750, 0.750, 0.750], [0.500, 0.500, 0.500], [0.250, 0.250, 0.250]]
}